Computed, not measured: a relaxed TlBi5 crystal at the GGA-PBE level of DFT.

```
TlBi5
1.0
4.216 0.000 0.000
0.000 5.395 0.000
0.000 -2.697 8.548
Bi Tl
5 1
direct
0.000 0.348 0.697
0.000 0.652 0.303
0.500 0.188 0.376
0.500 0.500 0.000
0.500 0.812 0.624
0.000 0.000 0.000
```

SG	No. 65
ΔH_f (0 K)	9	kJ/mol of atoms
N(E_F)	4.31	states/eV/cell